Entry w
## BeTcAg (PBE)

Data for a relaxed structure of BeTcAg.

```
BeTcAg
1.0
3.969 0.000 0.000
1.985 3.438 0.000
1.985 1.146 3.241
Be Ag Tc
1 1 1
Cartesian
5.954 3.438 2.431
3.969 2.292 1.621
0.000 0.000 0.000
```



Entry x
## BeTcAg (PBE)

Data for a relaxed structure of BeTcAg.

```
BeTcAg
1.0
-0.175 1.513 -2.250
-1.740 -2.048 0.398
-4.069 4.047 3.037
Tc Be Ag
1 1 1
Cartesian
-3.806 1.713 1.448
-2.080 1.702 -0.334
-0.097 0.096 0.072
```



Entry y
## BeTcAg (PBE)

Data for a relaxed structure of BeTcAg.

```
BeTcAg
1.0
-1.648 4.416 -3.270
-3.962 3.578 -2.096
0.098 2.135 1.693
Be Ag Tc
1 1 1
Cartesian
-1.780 4.062 -0.629
-5.513 7.894 -5.246
-3.829 6.166 -3.164
```



Winner for stability: entry y



Entry w
## BeAg3Te (PBE)

Data for a relaxed structure of BeAg3Te.

```
BeAg3Te
1.0
-1.871 -4.151 0.786
4.065 -1.535 1.572
-1.151 1.328 4.273
Ag Be Te
3 1 1
Cartesian
-0.575 0.664 2.137
-0.936 -2.075 0.393
2.032 -0.767 0.786
0.000 0.000 0.000
0.521 -2.179 3.316
```



Entry x
## BeAg3Te (PBE)

Data for a relaxed structure of BeAg3Te.

```
BeAg3Te
1.0
5.362 0.000 0.000
0.000 5.362 0.000
0.000 0.000 5.362
Ag Be Te
3 1 1
Cartesian
0.000 2.681 0.000
0.000 0.000 2.681
2.681 0.000 0.000
2.681 2.681 2.681
0.000 0.000 0.000
```



Winner for stability: entry w